Record 1
Compound: NaTiB
Source: Alexandria via LeMat-Bulk
Functional: PBE-GGA
Structure: relaxed

Summary:
Magnetization   0.0 Bohr magnetons per cell
E   -5.260 eV/atom
E_form   0.04 eV per atom

Geometry as POSCAR:
```
NaTiB
1.0
-5.7313 -7.9725 -1.0400
2.7418 -1.2846 -0.3022
1.4195 -1.4570 3.7258
Na B Ti
2 2 2
direct
0.0362 0.0681 0.0213
0.7404 0.6796 0.5907
0.3025 0.2306 0.9940
0.2662 0.6333 0.1480
0.3214 0.9587 0.5589
0.4930 0.7834 0.1009
```

Record 2
Compound: NaTiB
Source: Alexandria via LeMat-Bulk
Functional: PBE-GGA
Structure: relaxed

Summary:
Magnetization   0.0 Bohr magnetons per cell
E   -5.074 eV/atom
E_form   0.22 eV per atom

Geometry as POSCAR:
```
NaTiB
1.0
4.1002 0.0000 0.0000
0.0000 4.1002 0.0000
0.0000 0.0000 6.9172
Na B Ti
2 2 2
direct
0.0000 0.5000 0.1623
0.5000 0.0000 0.8377
0.0000 0.0000 0.5000
0.5000 0.5000 0.5000
0.0000 0.5000 0.5981
0.5000 0.0000 0.4019
```

Record 3
Compound: NaTiB
Source: Alexandria via LeMat-Bulk
Functional: PBE-GGA
Structure: relaxed

Summary:
Magnetization   0.0 Bohr magnetons per cell
E   -5.013 eV/atom
E_form   0.28 eV per atom

Geometry as POSCAR:
```
NaTiB
1.0
-0.0982 13.3031 -1.7506
-2.7025 -0.6340 -4.6659
-2.7428 0.1855 1.5635
Na B Ti
4 4 4
direct
0.6741 0.2500 0.5014
0.8259 0.7500 0.0014
0.3259 0.7500 0.4986
0.1741 0.2500 0.9986
0.0000 0.0000 0.0000
0.5000 0.5000 0.5000
0.5000 0.0000 0.5000
0.0000 0.5000 0.0000
0.4452 0.2500 0.0000
0.0548 0.7500 0.5000
0.5548 0.7500 0.0000
0.9452 0.2500 0.5000
```

Record 4
Compound: NaTiB
Source: Alexandria via LeMat-Bulk
Functional: PBE-GGA
Structure: relaxed

Summary:
Magnetization   0.0 Bohr magnetons per cell
E   -4.621 eV/atom
E_form   0.68 eV per atom

Geometry as POSCAR:
```
NaTiB
1.0
-0.1571 1.4897 3.3870
0.0855 -3.6806 -0.4020
9.6285 0.1838 0.3659
Na B Ti
2 2 2
direct
0.0000 0.0000 0.0000
0.0000 0.0000 0.5000
0.3333 0.6667 0.2500
0.6667 0.3333 0.7500
0.3333 0.6667 0.7500
0.6667 0.3333 0.2500
```

Record 5
Compound: NaTiB
Source: Alexandria via LeMat-Bulk
Functional: PBE-GGA
Structure: relaxed

Summary:
Magnetization   0.0 Bohr magnetons per cell
E   -5.293 eV/atom
E_form   0.00 eV per atom

Geometry as POSCAR:
```
NaTiB
1.0
-0.3073 6.0225 9.4150
-2.6147 -1.8924 0.0264
1.6313 -2.2347 1.4723
Na B Ti
2 2 2
direct
0.7114 0.6844 0.8222
0.0083 0.4863 0.3162
0.2372 0.7137 0.8194
0.4829 0.4576 0.3220
0.2690 0.2454 0.3197
0.4510 0.9259 0.8217
```

Record 6
Compound: NaTiB
Source: Alexandria via LeMat-Bulk
Functional: PBE-GGA
Structure: relaxed

Summary:
Magnetization   0.0 Bohr magnetons per cell
E   -4.870 eV/atom
E_form   0.43 eV per atom

Geometry as POSCAR:
```
NaTiB
1.0
3.7407 -2.1597 0.0000
0.0000 4.3194 0.0000
0.0000 0.0000 4.8623
Na B Ti
2 2 2
direct
0.0000 0.0000 0.0000
0.0000 0.0000 0.5000
0.3333 0.6667 0.7500
0.6667 0.3333 0.2500
0.3333 0.6667 0.2500
0.6667 0.3333 0.7500
```